Entry 1:
A geometry-optimized FeAuCl2 structure, computed with PBEsol.

Uncorrected energy, hartree per atom: -0.15536
Energy relative to the lowest polymorph listed for this composition, eV per atom: 0.000

Lattice parameters (Å, degrees): 3.1148 3.1148 26.8838 90.00 90.00 120.00
Space group R-3m (No. 166, hexagonal axes)
Symmetry-distinct sites (fractional):
Fe 0.0000 0.0000 0.0000 x3
Au 0.0000 0.0000 0.5000 x3
Cl 0.0000 0.0000 0.3816 x6

---

Entry 2:
A geometry-optimized CrSIO2 structure, computed with PBEsol.

Uncorrected energy, hartree per atom: -0.21788

Lattice parameters (Å, degrees): 3.6808 3.6808 5.8000 90.00 90.00 90.00
Space group P4/mmm (No. 123)
Symmetry-distinct sites (fractional):
Cr 0.0000 0.0000 0.0000 x1
S 0.5000 0.5000 0.5000 x1
I 0.0000 0.0000 0.5000 x1
O 0.0000 0.5000 0.0000 x2

---

Entry 3:
A geometry-optimized Li5SiAs3 structure, computed with PBEsol.

Uncorrected energy, hartree per atom: -0.14526

Lattice parameters (Å, degrees): 13.1941 5.9333 8.4251 90.00 108.20 90.00
Space group C2/c (No. 15)
Symmetry-distinct sites (fractional):
Li 0.0000 0.2453 0.2500 x4
Li 0.1634 0.2499 0.5687 x8
Li 0.1665 0.2445 0.0885 x8
Si 0.0000 0.2420 0.7500 x4
As 0.0000 0.5000 0.0000 x4
As 0.1576 0.0313 0.8219 x8

---

Entry 4:
A geometry-optimized Ba2ScSe structure, computed with PBEsol.

Uncorrected energy, hartree per atom: -0.15700

Lattice parameters (Å, degrees): 3.9052 3.9052 9.3997 90.00 90.00 90.00
Space group P4/mmm (No. 123)
Symmetry-distinct sites (fractional):
Ba 0.0000 0.0000 0.2011 x2
Sc 0.5000 0.5000 0.5000 x1
Se 0.5000 0.5000 0.0000 x1

---

Entry 5:
A geometry-optimized CaBeTe2N structure, computed with PBEsol.

Uncorrected energy, hartree per atom: -0.11687

Lattice parameters (Å, degrees): 5.7466 5.7466 4.3052 90.00 90.00 90.00
Space group P4/mmm (No. 123)
Symmetry-distinct sites (fractional):
Ca 0.0000 0.0000 0.0000 x1
Be 0.5000 0.5000 0.5000 x1
Te 0.0000 0.5000 0.0000 x2
N 0.0000 0.0000 0.5000 x1

---

Entry 6:
A geometry-optimized SrRe2Au structure, computed with PBEsol.

Uncorrected energy, hartree per atom: -0.26446
Calculated formation energy, eV per atom: 0.9108
Energy relative to the lowest polymorph listed for this composition, eV per atom: 0.112

Lattice parameters (Å, degrees): 2.7285 2.7285 9.5557 90.00 90.00 90.00
Space group P4/mmm (No. 123)
Symmetry-distinct sites (fractional):
Sr 0.0000 0.0000 0.0000 x1
Re 0.5000 0.5000 0.2790 x2
Au 0.0000 0.0000 0.5000 x1